Entry 1:
# Tb2RhPb

Crystalline Tb2RhPb at its relaxed geometry (GGA-PBE, the Alexandria database).

Polymorph energy (0 for the lowest one) ... 113 meV/atom
Formation energy from the elements ... -0.56 eV/atom

Lattice parameters (Å, degrees): 3.8291 3.8291 25.7916 90.00 90.00 120.00
With the nearest neighbours (Å) after each atom.
Positions (direct):
Tb  0.0000  0.0000  0.2313  3 Rh 2.77
Tb  0.0000  0.0000  0.7687  3 Rh 2.77
Tb  0.3333  0.6667  0.4354  3 Rh 2.77
Tb  0.3333  0.6667  0.8979  3 Rh 2.77
Tb  0.6667  0.3333  0.1021  3 Rh 2.77
Tb  0.6667  0.3333  0.5646  3 Rh 2.77
Rh  0.0000  0.0000  0.5000  6 Tb 2.77
Rh  0.3333  0.6667  0.1667  6 Tb 2.77
Rh  0.6667  0.3333  0.8333  6 Tb 2.77
Pb  0.0000  0.0000  0.0000  6 Tb 3.44, 6 Pb 3.83
Pb  0.3333  0.6667  0.6667  6 Tb 3.44, 6 Pb 3.83
Pb  0.6667  0.3333  0.3333  6 Tb 3.44, 6 Pb 3.83

=====

Entry 2:
# TbRh2Pb2

Crystalline TbRh2Pb2 at its relaxed geometry (GGA-PBE, the Alexandria database).

Polymorph energy (0 for the lowest one) ... 83 meV/atom
Formation energy from the elements ... -0.35 eV/atom

Lattice parameters (Å, degrees): 5.4037 4.4839 9.6286 90.00 101.06 90.00
With the nearest neighbours (Å) after each atom.
Positions (direct):
Tb  0.0155  0.2500  0.2649  5 Rh 2.85-3.04
Tb  0.9845  0.7500  0.7351  5 Rh 2.85-3.04
Rh  0.1408  0.7500  0.4480  4 Pb 2.73-2.87, 3 Tb 2.85-3.04, 2 Rh 2.99
Rh  0.2786  0.7500  0.1485  5 Pb 2.71-2.94, 2 Tb 2.99
Rh  0.7214  0.2500  0.8515  5 Pb 2.71-2.94, 2 Tb 2.99
Rh  0.8592  0.2500  0.5520  4 Pb 2.73-2.87, 3 Tb 2.85-3.04, 2 Rh 2.99
Pb  0.2636  0.2500  0.9728  4 Rh 2.80-2.94
Pb  0.3812  0.2500  0.6047  5 Rh 2.71-2.87
Pb  0.6188  0.7500  0.3953  5 Rh 2.71-2.87
Pb  0.7364  0.7500  0.0272  4 Rh 2.80-2.94

=====

Entry 3:
# TbRhPb

Crystalline TbRhPb at its relaxed geometry (GGA-PBE, the Alexandria database).

Formation energy from the elements ... -0.45 eV/atom

Lattice parameters (Å, degrees): 3.4152 3.4152 11.6683 90.00 90.00 90.00
With the nearest neighbours (Å) after each atom.
Positions (direct):
Tb  0.0000  0.0000  0.0000  4 Rh 2.93
Tb  0.5000  0.5000  0.5000  4 Rh 2.93
Rh  0.0000  0.0000  0.3580  4 Tb 2.93, 4 Pb 2.96
Rh  0.5000  0.5000  0.8580  4 Tb 2.93, 4 Pb 2.96
Pb  0.0000  0.0000  0.7109  4 Rh 2.96
Pb  0.5000  0.5000  0.2109  4 Rh 2.96

=====

Entry 4:
# Tb2Rh3Pb3

Crystalline Tb2Rh3Pb3 at its relaxed geometry (GGA-PBE, the Alexandria database).

Formation energy from the elements ... -0.41 eV/atom

Lattice parameters (Å, degrees): 8.1162 8.1162 6.4190 90.00 90.00 120.00
With the nearest neighbours (Å) after each atom.
Positions (direct):
Tb  0.3333  0.6667  0.0000  6 Rh 2.98, 2 Tb 3.21
Tb  0.3333  0.6667  0.5000  6 Rh 2.98, 2 Tb 3.21
Tb  0.6667  0.3333  0.0000  6 Rh 2.98, 2 Tb 3.21
Tb  0.6667  0.3333  0.5000  6 Rh 2.98, 2 Tb 3.21
Rh  0.0000  0.3880  0.2500  3 Pb 2.78-2.83, 4 Tb 2.98
Rh  0.0000  0.6120  0.7500  3 Pb 2.78-2.83, 4 Tb 2.98
Rh  0.3880  0.0000  0.2500  3 Pb 2.78-2.83, 4 Tb 2.98
Rh  0.3880  0.3880  0.7500  3 Pb 2.78-2.83, 4 Tb 2.98
Rh  0.6120  0.0000  0.7500  3 Pb 2.78-2.83, 4 Tb 2.98
Rh  0.6120  0.6120  0.2500  3 Pb 2.78-2.83, 4 Tb 2.98
Pb  0.0000  0.2632  0.7500  3 Rh 2.78-2.83
Pb  0.0000  0.7368  0.2500  3 Rh 2.78-2.83
Pb  0.2632  0.0000  0.7500  3 Rh 2.78-2.83
Pb  0.2632  0.2632  0.2500  3 Rh 2.78-2.83
Pb  0.7368  0.0000  0.2500  3 Rh 2.78-2.83
Pb  0.7368  0.7368  0.7500  3 Rh 2.78-2.83

=====

Entry 5:
# Tb3Rh8Pb

Crystalline Tb3Rh8Pb at its relaxed geometry (GGA-PBE, the Alexandria database).

Formation energy from the elements ... -0.58 eV/atom

Lattice parameters (Å, degrees): 9.2963 9.2963 9.2963 33.33 33.33 33.33
With the nearest neighbours (Å) after each atom.
Positions (direct):
Tb  0.0000  0.0000  0.0000  12 Rh 3.08-3.19, 3 Pb 3.23, 1 Tb 3.36
Tb  0.1277  0.1277  0.1277  12 Rh 3.11-3.14, 4 Tb 3.31-3.36
Tb  0.5069  0.5069  0.5069  12 Rh 3.08-3.21, 1 Pb 3.23, 3 Tb 3.31
Rh  0.0659  0.0659  0.5638  6 Rh 2.65-2.69
Rh  0.0659  0.5638  0.0659  6 Rh 2.65-2.69
Rh  0.0665  0.5669  0.5669  6 Rh 2.66-2.70
Rh  0.3158  0.3158  0.3158  6 Rh 2.69-2.70
Rh  0.5638  0.0659  0.0659  6 Rh 2.65-2.69
Rh  0.5669  0.0665  0.5669  6 Rh 2.66-2.70
Rh  0.5669  0.5669  0.0665  6 Rh 2.66-2.70
Rh  0.8161  0.8161  0.8161  6 Rh 2.66
Pb  0.6296  0.6296  0.6296  12 Rh 3.12-3.16, 4 Tb 3.23

=====

Entry 6:
# Tb2RhPb

Crystalline Tb2RhPb at its relaxed geometry (GGA-PBE, the Alexandria database).

Polymorph energy (0 for the lowest one) ... 165 meV/atom
Formation energy from the elements ... -0.51 eV/atom

Lattice parameters (Å, degrees): 7.3095 7.3095 7.3095 90.00 90.00 90.00
With the nearest neighbours (Å) after each atom.
Positions (direct):
Tb  0.2500  0.2500  0.2500  4 Pb 3.17, 4 Rh 3.17
Tb  0.2500  0.2500  0.7500  4 Pb 3.17, 4 Rh 3.17
Tb  0.2500  0.7500  0.2500  4 Pb 3.17, 4 Rh 3.17
Tb  0.2500  0.7500  0.7500  4 Pb 3.17, 4 Rh 3.17
Tb  0.7500  0.2500  0.2500  4 Pb 3.17, 4 Rh 3.17
Tb  0.7500  0.2500  0.7500  4 Pb 3.17, 4 Rh 3.17
Tb  0.7500  0.7500  0.2500  4 Pb 3.17, 4 Rh 3.17
Tb  0.7500  0.7500  0.7500  4 Pb 3.17, 4 Rh 3.17
Rh  0.0000  0.0000  0.0000  8 Tb 3.17
Rh  0.0000  0.5000  0.5000  8 Tb 3.17
Rh  0.5000  0.0000  0.5000  8 Tb 3.17
Rh  0.5000  0.5000  0.0000  8 Tb 3.17
Pb  0.0000  0.0000  0.5000  8 Tb 3.17
Pb  0.0000  0.5000  0.0000  8 Tb 3.17
Pb  0.5000  0.0000  0.0000  8 Tb 3.17
Pb  0.5000  0.5000  0.5000  8 Tb 3.17

=====

Entry 7:
# Tb11Rh4Pb9

Crystalline Tb11Rh4Pb9 at its relaxed geometry (GGA-PBE, the Alexandria database).

Formation energy from the elements ... -0.61 eV/atom

Lattice parameters (Å, degrees): 13.2780 13.2780 3.7943 90.00 90.00 112.36
With the nearest neighbours (Å) after each atom.
Positions (direct):
Tb  0.0000  0.0000  0.0000  8 Pb 3.28, 2 Tb 3.55
Tb  0.0831  0.4171  0.0000  2 Rh 2.79
Tb  0.1611  0.8389  0.0000  8 Pb 3.33-3.43, 3 Tb 3.55-3.70
Tb  0.3112  0.3112  0.0000  4 Rh 2.99
Tb  0.3724  0.6276  0.0000  4 Rh 3.00
Tb  0.4171  0.0831  0.0000  2 Rh 2.79
Tb  0.5829  0.9169  0.0000  2 Rh 2.79
Tb  0.6276  0.3724  0.0000  4 Rh 3.00
Tb  0.6888  0.6888  0.0000  4 Rh 2.99
Tb  0.8389  0.1611  0.0000  8 Pb 3.33-3.43, 3 Tb 3.55-3.70
Tb  0.9169  0.5829  0.0000  2 Rh 2.79
Rh  0.2463  0.4496  0.5000  6 Tb 2.79-3.00, 2 Pb 3.08-3.11
Rh  0.4496  0.2463  0.5000  6 Tb 2.79-3.00, 2 Pb 3.08-3.11
Rh  0.5504  0.7537  0.5000  6 Tb 2.79-3.00, 2 Pb 3.08-3.11
Rh  0.7537  0.5504  0.5000  6 Tb 2.79-3.00, 2 Pb 3.08-3.11
Pb  0.0696  0.2173  0.5000  1 Rh 3.08, 6 Tb 3.21-3.43, 1 Pb 3.26
Pb  0.1487  0.6287  0.5000  1 Rh 3.11, 6 Tb 3.22-3.47, 1 Pb 3.29
Pb  0.2173  0.0696  0.5000  1 Rh 3.08, 6 Tb 3.21-3.43, 1 Pb 3.26
Pb  0.3713  0.8513  0.5000  1 Rh 3.11, 6 Tb 3.22-3.47, 1 Pb 3.29
Pb  0.5000  0.5000  0.5000  4 Rh 3.17, 8 Tb 3.37-3.40
Pb  0.6287  0.1487  0.5000  1 Rh 3.11, 6 Tb 3.22-3.47, 1 Pb 3.29
Pb  0.7827  0.9304  0.5000  1 Rh 3.08, 6 Tb 3.21-3.43, 1 Pb 3.26
Pb  0.8513  0.3713  0.5000  1 Rh 3.11, 6 Tb 3.22-3.47, 1 Pb 3.29
Pb  0.9304  0.7827  0.5000  1 Rh 3.08, 6 Tb 3.21-3.43, 1 Pb 3.26

=====

Entry 8:
# Tb2RhPb

Crystalline Tb2RhPb at its relaxed geometry (GGA-PBE, the Alexandria database).

Polymorph energy (0 for the lowest one) ... 157 meV/atom
Formation energy from the elements ... -0.52 eV/atom

Lattice parameters (Å, degrees): 4.2384 4.2384 7.0332 90.00 90.00 120.00
With the nearest neighbours (Å) after each atom.
Positions (direct):
Tb  0.3333  0.6667  0.1984  3 Rh 2.82
Tb  0.6667  0.3333  0.8016  3 Rh 2.82
Rh  0.0000  0.0000  0.0000  6 Tb 2.82
Pb  0.0000  0.0000  0.5000  6 Tb 3.24, 2 Rh 3.52

=====

Entry 9:
# TbRhPb

Crystalline TbRhPb at its relaxed geometry (GGA-PBE, the Alexandria database).

Formation energy from the elements ... -0.64 eV/atom

Lattice parameters (Å, degrees): 13.7177 3.7376 7.9814 90.00 90.00 90.00
With the nearest neighbours (Å) after each atom.
Positions (direct):
Tb  0.0493  0.0000  0.2069  4 Rh 2.96-2.98
Tb  0.2500  0.0000  0.8386  5 Rh 2.89-3.17
Tb  0.4507  0.0000  0.2069  4 Rh 2.96-2.98
Tb  0.5493  0.0000  0.7931  4 Rh 2.96-2.98
Tb  0.7500  0.0000  0.1614  5 Rh 2.89-3.17
Tb  0.9507  0.0000  0.7931  4 Rh 2.96-2.98
Rh  0.0981  0.5000  0.9290  2 Pb 2.88-2.89, 6 Tb 2.89-2.98, 1 Rh 2.92
Rh  0.2500  0.0000  0.4412  6 Pb 2.80-2.83
Rh  0.4019  0.5000  0.9290  2 Pb 2.88-2.89, 6 Tb 2.89-2.98, 1 Rh 2.92
Rh  0.5981  0.5000  0.0710  2 Pb 2.88-2.89, 6 Tb 2.89-2.98, 1 Rh 2.92
Rh  0.7500  0.0000  0.5588  6 Pb 2.80-2.83
Rh  0.9019  0.5000  0.0710  2 Pb 2.88-2.89, 6 Tb 2.89-2.98, 1 Rh 2.92
Pb  0.1137  0.5000  0.5692  3 Rh 2.83-2.88
Pb  0.2500  0.5000  0.1792  4 Rh 2.80-2.89
Pb  0.3863  0.5000  0.5692  3 Rh 2.83-2.88
Pb  0.6137  0.5000  0.4308  3 Rh 2.83-2.88
Pb  0.7500  0.5000  0.8208  4 Rh 2.80-2.89
Pb  0.8863  0.5000  0.4308  3 Rh 2.83-2.88

=====

Entry 10:
# Tb2Rh3Pb

Crystalline Tb2Rh3Pb at its relaxed geometry (GGA-PBE, the Alexandria database).

Polymorph energy (0 for the lowest one) ... 0 meV/atom
Formation energy from the elements ... -0.64 eV/atom

Lattice parameters (Å, degrees): 4.8162 4.8162 11.7322 90.00 90.00 120.00
With the nearest neighbours (Å) after each atom.
Positions (direct):
Tb  0.0000  0.0000  0.0000  8 Rh 2.90-2.95
Tb  0.0000  0.0000  0.5000  8 Rh 2.93-2.96
Tb  0.3333  0.6667  0.1760  8 Rh 2.88-3.04
Tb  0.6667  0.3333  0.8240  8 Rh 2.88-3.04
Rh  0.0000  0.0000  0.2475  5 Tb 2.90-2.96, 3 Pb 2.96
Rh  0.0000  0.0000  0.7525  5 Tb 2.90-2.96, 3 Pb 2.96
Rh  0.3333  0.6667  0.4215  4 Pb 2.87-2.97, 4 Tb 2.88-2.93
Rh  0.3333  0.6667  0.9172  1 Pb 2.94, 7 Tb 2.95-3.04
Rh  0.6667  0.3333  0.0828  1 Pb 2.94, 7 Tb 2.95-3.04
Rh  0.6667  0.3333  0.5785  4 Pb 2.87-2.97, 4 Tb 2.88-2.93
Pb  0.3333  0.6667  0.6662  8 Rh 2.87-2.97
Pb  0.6667  0.3333  0.3338  8 Rh 2.87-2.97